[1]
Ca2VAsP PBE optimized geometry; space-group type = P4/mmm; E_form = 0.312 eV per atom; total DFT energy (no corrections) = -4.325 eV/atom
1.0
5.614 0.000 0.000
0.000 5.614 0.000
0.000 0.000 4.549
Ca V As P
2 1 1 1
Direct
0.000 0.500 0.000 Ca
0.500 0.000 0.000 Ca
0.000 0.000 0.000 V
0.000 0.000 0.500 As
0.500 0.500 0.500 P

[2]
V3CrTe PBE optimized geometry; E above lowest polymorph = 0 meV per atom; E_form (uncorrected) = 3.82 eV/f.u.; space-group type = Pm-3m; total DFT energy (no corrections) = -7.261 eV/atom
1.0
4.405 0.000 0.000
0.000 4.405 0.000
0.000 0.000 4.405
V Cr Te
3 1 1
Direct
0.000 0.000 0.500 V
0.000 0.500 0.000 V
0.500 0.000 0.000 V
0.000 0.000 0.000 Cr
0.500 0.500 0.500 Te

[3]
Ca2TbCuS4 PBE optimized geometry; E_form (uncorrected) = -13.08 eV/f.u.; space-group type = P2/m; total DFT energy (no corrections) = -5.290 eV/atom
1.0
6.782 0.000 0.000
0.000 3.951 0.000
-2.404 0.000 6.427
Ca Tb Cu S
2 1 1 4
Direct
0.000 0.000 0.000 Ca
0.500 0.500 0.000 Ca
0.000 0.500 0.500 Tb
0.500 0.000 0.500 Cu
0.244 0.000 0.746 S
0.264 0.500 0.272 S
0.736 0.500 0.728 S
0.756 0.000 0.254 S

[4]
ZrAlTeI2 PBE optimized geometry; E above lowest polymorph = 497 meV per atom; E_form (uncorrected) = 1.70 eV/f.u.; space-group type = P4/mmm; total DFT energy (no corrections) = -3.366 eV/atom
1.0
5.379 0.000 0.000
0.000 5.379 0.000
0.000 0.000 5.480
Zr Al Te I
1 1 1 2
Direct
0.000 0.000 0.000 Zr
0.500 0.500 0.500 Al
0.500 0.500 0.000 Te
0.000 0.500 0.500 I
0.500 0.000 0.500 I

[5]
Mg3Re2 PBE optimized geometry; E above lowest polymorph = 0 meV per atom; space-group type = R-3m; E_form = 0.335 eV per atom; total DFT energy (no corrections) = -5.601 eV/atom
1.0
1.424 0.822 11.971
-1.424 0.822 11.971
0.000 -1.644 11.971
Mg Re
3 2
Direct
0.000 0.000 0.000 Mg
0.203 0.203 0.203 Mg
0.797 0.797 0.797 Mg
0.399 0.399 0.399 Re
0.601 0.601 0.601 Re

[6]
La4Cd2O PBE optimized geometry; E_form (uncorrected) = -6.48 eV/f.u.; space-group type = I4/mmm; total DFT energy (no corrections) = -4.711 eV/atom
1.0
-2.545 2.545 7.955
2.545 -2.545 7.955
2.545 2.545 -7.955
La Cd O
4 2 1
Direct
0.000 0.500 0.500 La
0.168 0.168 0.000 La
0.500 0.000 0.500 La
0.832 0.832 0.000 La
0.368 0.368 0.000 Cd
0.632 0.632 0.000 Cd
0.000 0.000 0.000 O

[7]
GeSCl3 PBE optimized geometry; E above lowest polymorph = 267 meV per atom; E_form (uncorrected) = 1.71 eV/f.u.; space-group type = Pm-3m; total DFT energy (no corrections) = -2.515 eV/atom
1.0
4.934 0.000 0.000
0.000 4.934 0.000
0.000 0.000 4.934
Ge S Cl
1 1 3
Direct
0.000 0.000 0.000 Ge
0.500 0.500 0.500 S
0.000 0.500 0.500 Cl
0.500 0.000 0.500 Cl
0.500 0.500 0.000 Cl

[8]
LiScTaRe2 PBE optimized geometry; space-group type = P4/mmm; E_form = 0.869 eV per atom; total DFT energy (no corrections) = -8.130 eV/atom
1.0
4.538 0.000 0.000
0.000 4.538 0.000
0.000 0.000 3.752
Li Sc Ta Re
1 1 1 2
Direct
0.000 0.000 0.000 Li
0.000 0.000 0.500 Sc
0.500 0.500 0.500 Ta
0.000 0.500 0.000 Re
0.500 0.000 0.000 Re

[9]
Ti2BBr PBE optimized geometry; E above lowest polymorph = 246 meV per atom; E_form (uncorrected) = 1.08 eV/f.u.; space-group type = Fm-3m; total DFT energy (no corrections) = -5.765 eV/atom
1.0
0.000 3.057 3.057
3.057 0.000 3.057
3.057 3.057 0.000
Ti B Br
2 1 1
Direct
0.250 0.250 0.250 Ti
0.750 0.750 0.750 Ti
0.000 0.000 0.000 B
0.500 0.500 0.500 Br

[10]
Ag5Pb PBE optimized geometry; E above lowest polymorph = 11 meV per atom; space-group type = P4/mmm; E_form = 0.075 eV per atom; total DFT energy (no corrections) = -2.919 eV/atom
1.0
3.277 0.000 0.000
0.000 3.277 0.000
0.000 0.000 11.265
Ag Pb
5 1
Direct
0.000 0.000 0.000 Ag
0.000 0.000 0.302 Ag
0.000 0.000 0.698 Ag
0.500 0.500 0.150 Ag
0.500 0.500 0.850 Ag
0.500 0.500 0.500 Pb

[11]
GdAsO4 PBE optimized geometry; E above lowest polymorph = 95 meV per atom; E_form (uncorrected) = -13.47 eV/f.u.; space-group type = Imma; total DFT energy (no corrections) = -8.673 eV/atom
1.0
-2.868 3.901 3.768
2.868 -3.901 3.768
2.868 3.901 -3.768
Gd As O
2 2 8
Direct
0.000 0.000 0.000 Gd
0.500 0.000 0.500 Gd
0.333 0.583 0.750 As
0.667 0.417 0.250 As
0.215 0.205 0.490 O
0.215 0.724 0.010 O
0.265 0.702 0.563 O
0.362 0.298 0.063 O
0.638 0.702 0.937 O
0.735 0.298 0.437 O
0.785 0.276 0.990 O
0.785 0.795 0.510 O

[12]
Cs5Tl2Se5 PBE optimized geometry; E_form (uncorrected) = -10.14 eV/f.u.; space-group type = C2/m; total DFT energy (no corrections) = -3.047 eV/atom
1.0
8.276 -2.446 0.000
8.276 2.446 0.000
-2.475 0.000 12.477
Cs Tl Se
5 2 5
Direct
0.000 0.000 0.000 Cs
0.149 0.149 0.581 Cs
0.275 0.275 0.871 Cs
0.725 0.725 0.129 Cs
0.851 0.851 0.419 Cs
0.468 0.468 0.708 Tl
0.532 0.532 0.292 Tl
0.126 0.126 0.285 Se
0.388 0.388 0.146 Se
0.500 0.500 0.500 Se
0.612 0.612 0.854 Se
0.874 0.874 0.715 Se

Among the records above, which one has the lowest total DFT energy (no corrections)? GdAsO4